Density functional theory data (PBE) for crystalline GeO at its relaxed geometry.

Output
Space-group type   Pm-3n (223)
Spin magnetization   0.00 μB per formula unit
DFT total energy   -64.3 eV for the cell shown
Raw formation energy   -1.1 eV per formula unit

POSCAR file:
```
GeO
1.0
-3.9401 -4.3516 -2.2840
-1.0135 -2.1450 5.8352
-4.8089 4.0174 0.6416
Ge O
6 6
Cartesian
-4.1134 1.9406 3.3987 Ge
-3.3895 0.9208 -0.2502 Ge
-1.7090 -0.0681 3.0780 Ge
-2.7301 -3.7845 3.2344 Ge
-5.3595 -1.2550 -1.3922 Ge
-2.2234 -2.7120 0.3168 Ge
-1.4918 -2.1604 2.3466 O
-3.4618 -4.3362 1.2046 O
-2.6578 1.4725 1.7796 O
-3.1646 0.4000 4.6971 O
-5.5767 0.8373 -0.6608 O
-3.1723 -1.1714 -0.9816 O
```